Crystalline Pu2ZnPd4 at its relaxed geometry, computed with PBE.

Its raw total energy is -7.545 eV per atom. As for the total magnetization: 20.9 Bohr magnetons per cell. For the formation energy, the calculation gives -0.30 eV per atom.

It has space group I4/mmm (No. 139), with a = 6.2326 Å, b = 6.2326 Å, c = 7.7594 Å, α = 90.00°, β = 90.00° and γ = 90.00°. The distinct sites, in fractional coordinates, are Pu at (0.0000, 0.5000, 0.2500), Zn at (0.0000, 0.0000, 0.0000) and Pd at (0.2164, 0.2164, 0.5000).